Density functional theory data (GGA-PBE) for a relaxed structure of La2Pm4Pr2Tm.

Calculated values
As for the total energy: -85.54 eV for the cell shown. The value obtained for the energy relative to the elements is 13.2 meV/atom.

CIF file:
```
data_La2Pm4Pr2Tm
_space_group_name_H-M_alt 'C 1 2/m 1'
_space_group_IT_number 12
_space_group_name_Hall '-C 2y'
_cell_length_a 19.174
_cell_length_b 3.704
_cell_length_c 9.842
_cell_angle_alpha 90.00
_cell_angle_beta 115.53
_cell_angle_gamma 90.00
loop_
_atom_site_label
_atom_site_type_symbol
_atom_site_fract_x
_atom_site_fract_y
_atom_site_fract_z
La1 La 0.164 0.000 0.000
Pm1 Pm 0.019 0.000 0.328
Pm2 Pm 0.185 0.500 0.334
Pr1 Pr 0.147 0.500 0.666
Tm1 Tm 0.000 0.500 0.000
```